(1)
Computed, not measured: a geometry-optimized V5GaS8 structure at the PBE level of DFT.

Properties
formation energy from raw total energies: -0.802 eV/atom

abc: 10.113 10.113 10.113
angles: 90.00 90.00 90.00
Space group F-43m (No. 216)
Unique sites:
V1 0.000 0.000 0.000
V2 0.129 0.129 0.371
Ga1 0.250 0.250 0.750
S1 0.115 0.115 0.615
S2 0.131 0.131 0.131



(2)
Computed, not measured: a geometry-optimized KVAs2 structure at the PBE level of DFT.

Properties
E above lowest polymorph: 0.053 eV/atom
formation enthalpy at 0 K: -0.23 eV per atom

abc: 5.948 5.948 14.450
angles: 90.00 90.00 90.00
Space group I4_1/amd (No. 141, origin choice 2)
Unique sites:
K1 0.000 0.250 0.375
V1 0.000 0.250 0.875
As1 0.000 0.000 0.000



(3)
Computed, not measured: a geometry-optimized TiTcW structure at the PBE level of DFT.

Properties
E above lowest polymorph: 0.076 eV/atom
formation enthalpy at 0 K: -0.30 eV per atom

abc: 9.487 4.417 5.349
angles: 90.00 124.11 90.00
Space group C2/m (No. 12)
Unique sites:
Ti1 0.170 0.000 0.256
Tc1 0.167 0.000 0.749
W1 0.009 0.500 0.761



It is found that the VASP energy values, taken in the order of the records, are -371.46; -81.68; -128.42 eV/cell.